Record 1
VASP calculation (PBE-GGA) on a geometry-optimized TbAg3F6 structure.

Structure (extended XYZ):
```
10
Lattice="3.7979 -5.8343 0.0000 3.7979 5.8343 0.0000 0.0000 0.0000 3.8882" Properties=species:S:1:pos:R:3 pbc="T T T"
Tb 0.0000 0.0000 0.0000
Ag 1.8990 2.9171 1.9441
Ag 1.8990 -2.9171 1.9441
Ag 3.7979 0.0000 0.0000
F 3.7979 4.5655 1.9441
F 1.8794 1.3522 0.0000
F 1.8794 -1.3522 0.0000
F 5.7165 1.3522 0.0000
F 5.7165 -1.3522 0.0000
F 3.7979 -4.5655 1.9441
```

Properties
- E_tot: -4.6433 eV/atom

Record 2
VASP calculation (PBE-GGA) on a geometry-optimized TbAg2F5 structure.

Structure (extended XYZ):
```
32
Lattice="10.3693 0.0000 0.0000 0.0000 7.1854 0.0000 0.0000 0.0000 6.3870" Properties=species:S:1:pos:R:3 pbc="T T T"
Tb 0.0641 1.7964 0.4697
Tb 5.1206 5.3891 3.6632
Tb 5.2487 1.7964 2.7238
Tb 10.3052 5.3891 5.9173
Ag 1.7718 0.0198 3.4051
Ag 1.7718 3.5729 3.4051
Ag 3.4129 3.6125 0.2116
Ag 3.4129 7.1656 0.2116
Ag 6.9564 0.0198 6.1754
Ag 6.9564 3.5729 6.1754
Ag 8.5975 3.6125 2.9819
Ag 8.5975 7.1656 2.9819
F 0.1483 1.7964 2.7083
F 0.8547 3.8668 0.9550
F 0.8547 6.9113 0.9550
F 1.8146 1.7964 5.4972
F 2.0959 5.3891 5.2249
F 3.0887 1.7964 2.0315
F 3.3700 5.3891 2.3037
F 4.3299 0.2741 4.1485
F 4.3299 3.3186 4.1485
F 5.0363 5.3891 5.9018
F 5.3330 1.7964 0.4851
F 6.0394 3.8668 2.2385
F 6.0394 6.9113 2.2385
F 6.9993 1.7964 4.0832
F 7.2806 5.3891 4.3555
F 8.2734 1.7964 1.1620
F 8.5547 5.3891 0.8898
F 9.5146 0.2741 5.4320
F 9.5146 3.3186 5.4320
F 10.2210 5.3891 3.6786
```

Properties
- E_tot: -4.9989 eV/atom
- DOS(E_F): 0.0 states/eV per cell

Record 3
VASP calculation (PBE-GGA) on a geometry-optimized TbAgF4 structure.

Structure (extended XYZ):
```
6
Lattice="3.7988 -3.9874 0.0000 3.7988 3.9874 0.0000 0.0000 0.0000 3.6262" Properties=species:S:1:pos:R:3 pbc="T T T"
Tb 0.0000 0.0000 0.0000
Ag 3.7988 0.0000 1.8131
F 3.7988 2.6500 1.8131
F 2.1670 0.0000 0.0000
F 5.4306 0.0000 0.0000
F 3.7988 -2.6500 1.8131
```

Properties
- ΔE to the lowest computed polymorph: 0.0258 eV/atom
- E_tot: -5.4966 eV/atom
- DOS(E_F): 0.0 states/eV per cell

Record 4
VASP calculation (PBE-GGA) on a geometry-optimized Tb2Ag5F12 structure.

Structure (extended XYZ):
```
19
Lattice="5.4171 -3.4917 0.0000 5.4171 3.4917 0.0000 -0.8616 0.0000 8.8562" Properties=species:S:1:pos:R:3 pbc="T T T"
Tb 5.4171 1.7693 0.0000
Tb 5.4171 -1.7693 0.0000
Ag -0.4308 0.0000 4.4281
Ag 2.6453 0.0000 2.7977
Ag 2.6925 0.0000 5.6242
Ag 7.2801 0.0000 3.2320
Ag 7.3273 0.0000 6.0586
F 0.2274 0.0000 8.0064
F 3.1961 1.8220 7.1557
F 3.6542 1.8404 3.7912
F 6.3184 1.8404 5.0650
F 6.7765 1.8220 1.7005
F 4.3646 0.0000 0.8705
F 5.6079 0.0000 7.9858
F 3.1961 -1.8220 7.1557
F 3.6542 -1.8404 3.7912
F 6.3184 -1.8404 5.0650
F 6.7765 -1.8220 1.7005
F 9.7452 0.0000 0.8498
```

Properties
- E_tot: -4.6833 eV/atom
- DOS(E_F): 3.1 states/eV per cell

no.,total moment (μB per cell)
1,0.00
2,0.00
3,0.00
4,0.00